No. 1
AlZnSeO5: relaxed, PBE.

Geometry as extended XYZ:
```
16
Lattice="5.303 0.727 -0.154 -0.853 5.284 -0.154 -2.038 -2.753 6.692" Properties=species:S:1:pos:R:3 pbc="T T T"
O 3.600 -1.209 4.865
Al 0.000 0.000 0.000
O -1.436 1.330 6.404
O 3.848 1.928 -0.021
Se 2.793 1.519 1.519
O 1.185 1.386 0.895
Zn 1.979 -0.009 4.865
O -0.298 2.867 3.325
O 2.452 3.097 2.143
O -0.040 0.161 4.241
Al -1.019 -1.376 3.346
O -1.188 4.467 1.519
Se -0.381 1.739 4.865
Zn 0.433 3.267 1.519
O 1.227 1.873 5.489
O 2.710 0.391 3.058
```

Output
Formation energy without anion corrections, eV per formula unit: -11.22
Size of the total moment, Bohr magnetons per cell: 0.00
Uncorrected energy, eV/cell: -89.031
DOS(E_F), states/eV per cell: 2.498
Space-group type: C2/c

***

No. 2
Al2SiO4: relaxed, PBE.

Geometry as extended XYZ:
```
7
Lattice="5.271 0.000 0.000 0.000 5.271 0.000 -2.635 -2.635 2.900" Properties=species:S:1:pos:R:3 pbc="T T T"
O 1.700 3.570 1.009
O -0.935 -0.935 1.891
Al 2.635 0.000 1.450
Al 0.000 2.635 1.450
Si 2.635 2.635 0.000
O 3.570 1.700 1.009
O 0.935 0.935 1.891
```

Output
Formation energy without anion corrections, eV per formula unit: -14.44
Size of the total moment, Bohr magnetons per cell: 1.49
Uncorrected energy, eV/cell: -47.186
DOS(E_F), states/eV per cell: 1.107
Space-group type: I-42m

***

No. 3
AlSi3O8: relaxed, PBE.

Geometry as extended XYZ:
```
24
Lattice="5.795 -0.009 0.977 -1.258 7.108 -0.085 -0.623 -3.323 6.843" Properties=species:S:1:pos:R:3 pbc="T T T"
O 1.216 -1.553 7.176
O 2.699 5.329 0.560
Si -0.273 6.084 1.245
O 4.803 1.275 3.817
O 0.472 2.704 4.078
O 4.057 0.749 1.254
O -0.889 2.502 3.919
O 1.574 -1.904 4.591
O -0.143 3.027 6.482
O 2.340 5.681 3.145
Si 0.720 -2.404 5.903
Si 1.385 2.228 5.875
Al 1.222 4.148 3.076
Al 2.693 -0.372 4.659
Si 4.187 -2.308 6.490
O 3.442 1.072 3.658
O 0.087 4.636 1.786
O 1.482 0.740 5.319
Si 2.529 1.549 1.861
O 3.828 -0.859 5.949
O 2.433 3.037 2.416
O 1.612 0.191 2.278
O 2.302 3.585 5.458
Si 3.194 6.180 1.833
```

Output
Formation energy without anion corrections, eV per formula unit: -24.25
Size of the total moment, Bohr magnetons per cell: 0.00
Offset from the most stable computed form, eV per atom: 0.598
Uncorrected energy, eV/cell: -167.863
DOS(E_F), states/eV per cell: 0.000
Space-group type: P-1

***

No. 4
Al2SiO5: relaxed, PBE.

Geometry as extended XYZ:
```
16
Lattice="-2.462 -3.858 -1.944 4.375 2.280 -0.620 3.779 -5.557 6.239" Properties=species:S:1:pos:R:3 pbc="T T T"
O 1.906 -5.217 2.151
O 3.787 -1.918 1.524
O 5.431 -3.484 3.715
Al 6.975 -3.732 5.019
O 0.261 -3.650 -0.040
Al 5.595 -1.704 2.742
Al -1.282 -3.402 -1.344
O 3.115 -6.995 4.148
O 0.249 -6.953 1.983
Al 0.097 -5.431 0.933
O 4.444 1.288 0.042
O 2.577 -0.139 -0.473
Si 1.631 -6.896 2.979
O 5.443 -0.181 1.692
Si 4.062 -0.238 0.696
O 1.248 -8.422 3.633
```

Output
Formation energy without anion corrections, eV per formula unit: -22.64
Size of the total moment, Bohr magnetons per cell: 0.00
Offset from the most stable computed form, eV per atom: 0.109
Uncorrected energy, eV/cell: -120.688
DOS(E_F), states/eV per cell: 0.000
Space-group type: Cmcm

***

No. 5
Al3SiO: relaxed, PBE.

Geometry as extended XYZ:
```
5
Lattice="-3.184 -1.795 2.001 0.598 -3.497 -2.185 2.620 -1.382 2.930" Properties=species:S:1:pos:R:3 pbc="T T T"
O 0.000 0.000 0.000
Si 0.017 -3.337 1.373
Al 1.310 -0.691 1.465
Al -1.592 -0.897 1.000
Al 0.299 -1.749 -1.092
```

Output
Formation energy without anion corrections, eV per formula unit: -1.31
Size of the total moment, Bohr magnetons per cell: 0.00
Offset from the most stable computed form, eV per atom: 0.000
Uncorrected energy, eV/cell: -22.923
DOS(E_F), states/eV per cell: 1.949
Space-group type: Pm-3m

***

No. 6
Al2SiO6: relaxed, PBE.

Geometry as extended XYZ:
```
18
Lattice="-3.571 1.716 1.817 -1.856 -3.943 0.078 3.246 -1.375 7.679" Properties=species:S:1:pos:R:3 pbc="T T T"
Si 0.000 0.000 0.000
O -0.553 -1.154 3.211
O -1.675 -3.066 1.624
O -1.627 -2.448 6.363
Si -1.090 -1.801 4.787
O -1.590 -0.151 5.294
O 0.470 -1.588 5.631
Al 2.167 -0.918 5.127
O 0.548 -4.008 6.883
Al -0.011 -2.258 7.340
Al 1.079 -0.457 2.552
O -2.728 0.406 2.691
O -0.505 -0.536 7.950
O -2.650 -2.014 3.943
Al -2.169 -1.344 2.235
O -0.590 -3.451 4.280
O -3.844 -1.578 1.343
O -1.582 -0.649 0.552
```

Output
Formation energy without anion corrections, eV per formula unit: -21.25
Size of the total moment, Bohr magnetons per cell: 3.51
Uncorrected energy, eV/cell: -127.822
DOS(E_F), states/eV per cell: 10.545
Space-group type: P4_2/mnm

***

Q: What is the formula in the third record?
A: AlSi3O8

***

Q: Look up the size of the total moment of the second one.
A: 1.49 Bohr magnetons per cell

***

Please write out number 1 again, unchanged.
AlZnSeO5: relaxed, PBE.

Geometry as extended XYZ:
```
16
Lattice="5.303 0.727 -0.154 -0.853 5.284 -0.154 -2.038 -2.753 6.692" Properties=species:S:1:pos:R:3 pbc="T T T"
O 3.600 -1.209 4.865
Al 0.000 0.000 0.000
O -1.436 1.330 6.404
O 3.848 1.928 -0.021
Se 2.793 1.519 1.519
O 1.185 1.386 0.895
Zn 1.979 -0.009 4.865
O -0.298 2.867 3.325
O 2.452 3.097 2.143
O -0.040 0.161 4.241
Al -1.019 -1.376 3.346
O -1.188 4.467 1.519
Se -0.381 1.739 4.865
Zn 0.433 3.267 1.519
O 1.227 1.873 5.489
O 2.710 0.391 3.058
```

Output
Formation energy without anion corrections, eV per formula unit: -11.22
Size of the total moment, Bohr magnetons per cell: 0.00
Uncorrected energy, eV/cell: -89.031
DOS(E_F), states/eV per cell: 2.498
Space-group type: C2/c

***

Q: DOS(E_F) of number 4 (Al2SiO5)?
A: 0.000 states/eV per cell